1.
{
  "formula": "Ho8AgIr2",
  "functional": "GGA-PBE",
  "state": "optimized geometry",
  "lattice_angstrom": [[5.482, 0.154, -0.856], [-1.744, 6.958, -2.912], [0.116, -0.069, 7.741]],
  "species": ["Ho", "Ho", "Ho", "Ho", "Ho", "Ho", "Ho", "Ho", "Ir", "Ir", "Ag"],
  "fractional_positions": [[0.411, 0.933, 0.673], [0.411, 0.673, 0.933], [0.588, 0.334, 0.074], [0.000, 0.245, 0.762], [0.000, 0.762, 0.245], [0.195, 0.381, 0.381], [0.588, 0.074, 0.334], [0.804, 0.625, 0.625], [0.500, 0.694, 0.312], [0.500, 0.312, 0.694], [0.002, 0.003, 0.003]],
  "vol_a3_per_cell": 296.79,
  "formation_enthalpy_0k_ev_per_atom": -0.3793,
  "m_tot_mub_per_atom": 0.0000
}



2.
{
  "formula": "Ta2Tl2Si",
  "functional": "GGA-PBE",
  "state": "optimized geometry",
  "lattice_angstrom": [[8.711, 0.000, 0.000], [0.000, 8.711, 0.000], [0.000, 0.000, 2.963]],
  "species": ["Tl", "Tl", "Tl", "Tl", "Si", "Si", "Ta", "Ta", "Ta", "Ta"],
  "fractional_positions": [[0.815, 0.685, 0.000], [0.185, 0.315, 0.000], [0.315, 0.815, 0.000], [0.685, 0.185, 0.000], [0.000, 0.000, 0.000], [0.500, 0.500, 0.000], [0.609, 0.891, 0.500], [0.891, 0.391, 0.500], [0.109, 0.609, 0.500], [0.391, 0.109, 0.500]],
  "vol_a3_per_cell": 224.79,
  "m_tot_mub_per_atom": 0.0000,
  "de_polymorph_mev_per_atom": 0,
  "raw_formation_energy_ev_per_atom": 0.914
}



3.
{
  "formula": "SrTlHg2Rh",
  "functional": "GGA-PBE",
  "state": "optimized geometry",
  "lattice_angstrom": [[5.338, 0.000, 0.000], [0.000, 5.467, 0.000], [0.000, 0.000, 5.338]],
  "species": ["Rh", "Sr", "Tl", "Hg", "Hg"],
  "fractional_positions": [[0.000, 0.000, 0.000], [0.000, 0.500, 0.000], [0.500, 0.500, 0.500], [0.500, 0.000, 0.000], [0.000, 0.000, 0.500]],
  "vol_a3_per_cell": 155.76,
  "formation_enthalpy_0k_ev_per_atom": -0.0718,
  "m_tot_mub_per_atom": 0.0000,
  "de_polymorph_mev_per_atom": 107
}



4.
{
  "formula": "Pm2Pr3Y4",
  "functional": "GGA-PBE",
  "state": "optimized geometry",
  "lattice_angstrom": [[-1.520, 4.708, -1.556], [-1.839, 3.739, 4.467], [8.965, 6.951, 3.630]],
  "species": ["Y", "Y", "Y", "Y", "Pm", "Pm", "Pr", "Pr", "Pr"],
  "fractional_positions": [[0.280, 0.339, 0.102], [0.720, 0.661, 0.898], [0.141, 0.996, 0.721], [0.859, 0.004, 0.279], [0.167, 0.243, 0.423], [0.833, 0.757, 0.577], [0.558, 0.637, 0.247], [0.442, 0.363, 0.753], [0.000, 0.000, 0.000]],
  "vol_a3_per_cell": 318.61,
  "formation_enthalpy_0k_ev_per_atom": 0.2032,
  "m_tot_mub_per_atom": 0.0000,
  "de_polymorph_mev_per_atom": 112
}



5.
{
  "formula": "Er4CdNiRu2",
  "functional": "GGA-PBE",
  "state": "optimized geometry",
  "lattice_angstrom": [[4.868, 0.000, 0.000], [2.434, 4.216, 0.000], [2.434, 1.405, 7.971]],
  "species": ["Ni", "Er", "Er", "Er", "Er", "Ru", "Ru", "Cd"],
  "fractional_positions": [[0.500, 0.500, 0.500], [0.381, 0.381, 0.856], [0.130, 0.130, 0.611], [0.870, 0.870, 0.389], [0.619, 0.619, 0.144], [0.749, 0.749, 0.752], [0.251, 0.251, 0.248], [0.000, 0.000, 0.000]],
  "vol_a3_per_cell": 163.58,
  "formation_enthalpy_0k_ev_per_atom": -0.3908,
  "m_tot_mub_per_atom": 0.0004
}



6.
{
  "formula": "AgSbPb",
  "functional": "GGA-PBE",
  "state": "optimized geometry",
  "lattice_angstrom": [[4.316, 0.035, 0.004], [2.174, 5.789, 0.006], [2.131, 0.720, 6.342]],
  "species": ["Ag", "Ag", "Pb", "Pb", "Sb", "Sb"],
  "fractional_positions": [[0.847, 0.118, 0.188], [0.153, 0.882, 0.812], [0.589, 0.689, 0.139], [0.411, 0.311, 0.861], [0.854, 0.742, 0.547], [0.146, 0.258, 0.453]],
  "vol_a3_per_cell": 157.90,
  "m_tot_mub_per_atom": 0.0000,
  "de_polymorph_mev_per_atom": 25,
  "raw_formation_energy_ev_per_atom": 0.047
}



7.
{
  "formula": "TmFeGe",
  "functional": "GGA-PBE",
  "state": "optimized geometry",
  "lattice_angstrom": [[3.655, 0.000, 0.000], [0.000, 4.156, 0.000], [0.000, -2.078, 3.599]],
  "species": ["Tm", "Fe", "Ge"],
  "fractional_positions": [[0.667, 0.333, 0.667], [0.167, 0.667, 0.333], [0.166, 0.000, 0.000]],
  "vol_a3_per_cell": 54.67,
  "formation_enthalpy_0k_ev_per_atom": -0.4195,
  "m_tot_mub_per_atom": 0.5197
}



8.
{
  "formula": "K2YF4",
  "functional": "GGA-PBE",
  "state": "optimized geometry",
  "lattice_angstrom": [[-2.743, 1.489, -3.103], [-0.500, -4.098, -1.525], [-8.723, -2.551, 3.364]],
  "species": ["Y", "K", "K", "F", "F", "F", "F"],
  "fractional_positions": [[0.000, 0.000, 0.000], [0.660, 0.660, 0.681], [0.340, 0.340, 0.319], [0.117, 0.117, 0.766], [0.000, 0.500, 0.000], [0.500, 0.000, 0.000], [0.883, 0.883, 0.234]],
  "vol_a3_per_cell": 177.78,
  "m_tot_mub_per_atom": 0.0000,
  "raw_formation_energy_ev_per_atom": -3.055
}



9.
{
  "formula": "La2PrAu",
  "functional": "GGA-PBE",
  "state": "optimized geometry",
  "lattice_angstrom": [[6.754, 0.000, 0.000], [0.000, 7.336, 0.000], [0.000, 0.000, 10.583]],
  "species": ["La", "La", "La", "La", "La", "La", "La", "La", "Pr", "Pr", "Pr", "Pr", "Au", "Au", "Au", "Au"],
  "fractional_positions": [[0.332, 0.193, 0.052], [0.168, 0.693, 0.052], [0.832, 0.307, 0.552], [0.332, 0.193, 0.448], [0.832, 0.307, 0.948], [0.668, 0.807, 0.948], [0.668, 0.807, 0.552], [0.168, 0.693, 0.448], [0.860, 0.019, 0.250], [0.140, 0.981, 0.750], [0.360, 0.481, 0.750], [0.640, 0.519, 0.250], [0.580, 0.106, 0.750], [0.420, 0.894, 0.250], [0.920, 0.606, 0.750], [0.080, 0.394, 0.250]],
  "vol_a3_per_cell": 524.41,
  "formation_enthalpy_0k_ev_per_atom": -0.4004,
  "m_tot_mub_per_atom": 0.0000,
  "de_polymorph_mev_per_atom": 16
}